Compound: Cs2AcTbS4
Source: the Alexandria database
Functional: PBE
Structure: optimized geometry

Cell: 7.471 4.310 8.469 Å, 90.00 106.95 90.00°
Fractional positions:
Cs  0.000  0.000  0.000
Cs  0.500  0.500  0.000
Ac  0.000  0.500  0.500
Tb  0.500  0.000  0.500
S  0.247  0.000  0.689
S  0.288  0.500  0.316
S  0.712  0.500  0.684
S  0.753  0.000  0.311

The volume comes out at 261 Å³/f.u. The calculation puts the formation energy from raw total energies at -1.834 eV/atom. Its space group is P2/m, No. 10. The calculation puts the total magnetic moment at 0.00 μB per cell. The value obtained for the density of states at the Fermi level is 0.0 states/eV per cell. As for the crystal system: monoclinic.